[1]
{
  "formula": "KMoCl2",
  "functional": "PBE",
  "state": "relaxed",
  "m_tot_mub_per_fu": 5.00,
  "de_polymorph_ev_per_fu": 2.735,
  "raw_formation_energy_ev_per_fu": 1.03,
  "dft_energy_ev_per_atom": -3.649,
  "lattice": [[-4.085, -0.998, 3.162], [-2.244, -4.759, -0.024], [0.591, -3.208, 4.128]],
  "species": ["Mo", "K", "Cl", "Cl"],
  "frac_coords": [[0.750, 0.750, 0.750], [0.500, 0.500, 0.500], [0.000, 0.000, 0.000], [0.250, 0.250, 0.250]]
}

---

[2]
{
  "formula": "K3MoCl",
  "functional": "PBE",
  "state": "relaxed",
  "m_tot_mub_per_fu": 5.77,
  "de_polymorph_ev_per_fu": 0.000,
  "raw_formation_energy_ev_per_fu": 1.09,
  "dft_energy_ev_per_atom": -2.975,
  "lattice": [[-2.072, 3.865, 4.242], [-1.624, -4.721, 3.508], [5.504, 0.062, 2.632]],
  "species": ["Mo", "K", "K", "K", "Cl"],
  "frac_coords": [[0.500, 0.500, 0.500], [0.000, 0.500, 0.000], [0.000, 0.000, 0.500], [0.500, 0.000, 0.000], [0.000, 0.000, 0.000]]
}

---

[3]
{
  "formula": "KNa2MoCl8",
  "functional": "PBE",
  "state": "relaxed",
  "m_tot_mub_per_fu": 1.43,
  "raw_formation_energy_ev_per_fu": -14.95,
  "dft_energy_ev_per_atom": -3.691,
  "lattice": [[6.184, -0.293, -0.002], [-0.281, 6.206, -0.001], [0.007, 0.016, 8.989]],
  "species": ["K", "Na", "Na", "Mo", "Cl", "Cl", "Cl", "Cl", "Cl", "Cl", "Cl", "Cl"],
  "frac_coords": [[0.000, 0.000, 0.500], [0.500, 0.500, 0.749], [0.500, 0.500, 0.251], [0.000, 0.000, 0.000], [0.135, 0.779, 0.187], [0.669, 0.771, 0.000], [0.864, 0.220, 0.187], [0.865, 0.221, 0.813], [0.331, 0.229, 0.000], [0.136, 0.780, 0.813], [0.527, 0.755, 0.500], [0.473, 0.245, 0.500]]
}